Entry 1:
The following is a GGA-PBE calculation of a relaxed Be3SF crystal, from the Alexandria database.

Computed properties:
* energy relative to the lowest polymorph listed for this composition: 0.900 eV/f.u.
* energy relative to the elements, uncorrected: 0.570 eV/atom
* E_tot: -14.33 eV per formula unit
* D(E_F): 3.82 states/eV/cell

abc: 4.0711 4.0711 4.0711
angles: 90.00 90.00 90.00
Last column: magnetic moment on the atom in μB.
Fractional coordinates of all 5 atoms:
Be  0.0000  0.0000  0.5000  0.15
Be  0.5000  0.0000  0.0000  0.07
Be  0.0000  0.5000  0.0000  0.07
F  0.5000  0.5000  0.5000  0.05
S  0.0000  0.0000  0.0000  -0.01


Entry 2:
The following is a GGA-PBE calculation of a relaxed Ba3Ni5S12 crystal, from the Alexandria database.

Computed properties:
* energy relative to the elements, uncorrected: -0.548 eV/atom
* E_tot: -95.17 eV per formula unit
* D(E_F): 85.51 states/eV/cell

abc: 13.1152 13.1152 13.1152
angles: 109.47 109.47 109.47
Fractional coordinates of all 80 atoms:
S  0.6845  0.4982  0.5949
S  0.0966  0.4104  0.0949
S  0.3137  0.9034  0.9982
S  0.9034  0.5896  0.9051
S  0.5966  0.0018  0.1863
S  0.5949  0.5966  0.4104
S  0.5018  0.3155  0.9051
S  0.4034  0.4051  0.0896
S  0.6845  0.1863  0.5896
S  0.8155  0.9051  0.0018
S  0.8137  0.3155  0.9104
S  0.4051  0.4034  0.5896
S  0.1863  0.6845  0.0896
S  0.9104  0.8155  0.8137
S  0.8155  0.9104  0.3137
S  0.9104  0.0949  0.5966
S  0.0018  0.5966  0.6863
S  0.0949  0.1845  0.4982
S  0.4104  0.3137  0.3155
S  0.6863  0.0966  0.0018
S  0.5896  0.6863  0.6845
S  0.0949  0.9104  0.0966
S  0.5896  0.9034  0.4051
S  0.0896  0.9051  0.4034
S  0.8137  0.4982  0.4034
S  0.4982  0.6845  0.0949
S  0.6863  0.5896  0.1845
S  0.1845  0.0949  0.9982
S  0.9051  0.8155  0.5018
S  0.3137  0.4104  0.8155
S  0.4982  0.8137  0.9034
S  0.9034  0.3137  0.4982
S  0.0966  0.6863  0.5018
S  0.1845  0.0896  0.6863
S  0.3155  0.5018  0.4051
S  0.0018  0.4051  0.8155
S  0.5018  0.1863  0.0966
S  0.9982  0.5949  0.1845
S  0.0896  0.1845  0.1863
S  0.9982  0.4034  0.3137
S  0.5966  0.5949  0.9104
S  0.9051  0.0896  0.9034
S  0.4104  0.0966  0.5949
S  0.5949  0.9982  0.6845
S  0.4051  0.0018  0.3155
S  0.3155  0.8137  0.4104
S  0.1863  0.5018  0.5966
S  0.4034  0.9982  0.8137
Ni  0.1250  0.3750  0.2500
Ni  0.8750  0.2500  0.6250
Ni  0.5000  0.0000  0.5000
Ni  0.8750  0.6250  0.7500
Ni  0.7500  0.6250  0.3750
Ni  0.6250  0.7500  0.8750
Ni  0.2500  0.8750  0.1250
Ni  0.5000  0.5000  0.5000
Ni  0.0000  0.0000  0.5000
Ni  0.6250  0.8750  0.2500
Ni  0.7500  0.1250  0.8750
Ni  0.0000  0.5000  0.5000
Ni  0.1250  0.7500  0.3750
Ni  0.5000  0.5000  0.0000
Ni  0.0000  0.0000  0.0000
Ni  0.0000  0.5000  0.0000
Ni  0.3750  0.1250  0.7500
Ni  0.5000  0.0000  0.0000
Ni  0.3750  0.2500  0.1250
Ni  0.2500  0.3750  0.6250
Ba  0.1250  0.8750  0.7500
Ba  0.7500  0.3750  0.1250
Ba  0.2500  0.1250  0.3750
Ba  0.2500  0.6250  0.8750
Ba  0.8750  0.1250  0.2500
Ba  0.3750  0.6250  0.2500
Ba  0.3750  0.7500  0.6250
Ba  0.7500  0.8750  0.6250
Ba  0.6250  0.2500  0.3750
Ba  0.6250  0.3750  0.7500
Ba  0.8750  0.7500  0.1250
Ba  0.1250  0.2500  0.8750


Entry 3:
The following is a GGA-PBE calculation of a relaxed TbTlGaCu crystal, from the Alexandria database.

Computed properties:
* ΔE_f: -0.1610 eV/atom
* E_tot: -14.76 eV per formula unit
* D(E_F): 1.79 states/eV/cell

abc: 4.9112 4.9112 4.9112
angles: 60.00 60.00 60.00
Fractional coordinates of all 4 atoms:
Ga  0.7500  0.7500  0.7500
Tl  0.5000  0.5000  0.5000
Tb  0.0000  0.0000  0.0000
Cu  0.2500  0.2500  0.2500